Compound: La2Pm3S8
Source: Alexandria
Functional: PBE-GGA
Structure: relaxed

Values from the calculation:
The calculation puts the uncorrected formation energy at -1907 meV/atom. The value obtained for the magnetization is 0.000 μB/f.u. The volume comes out at 29.36 Å³ per atom. For the final energy, the calculation gives -0.46314 Ry/atom. As for the density: 4.22 g cm⁻³.

Cell and atoms, written as POSCAR:
```
La2Pm3S8
1.0
6.920 0.000 0.151
0.000 8.307 0.000
-2.620 -4.153 6.582
S Pm La
8 3 2
Cartesian
2.089 -2.261 5.046
2.211 1.892 1.687
2.089 2.261 5.046
2.211 6.415 1.687
-1.542 4.153 5.087
5.842 0.000 1.647
-1.481 0.000 4.991
5.781 4.153 1.742
3.460 0.000 0.076
0.000 6.119 0.000
0.000 2.188 0.000
1.006 0.000 3.580
3.294 4.153 3.154
```